Entry 1:
Entry from the Alexandria database: a relaxed SrFeBr2 crystal (PBE).

Cell: 4.4115 4.0983 12.1161 Å, 90.00 90.00 90.00°
Space group Amm2 (No. 38)
Asymmetric unit:
Sr (0.0000, 0.0000, 0.0000)
Fe (0.5000, 0.0000, 0.3753)
Br (0.0000, 0.0000, 0.3034)
Br (0.5000, 0.0000, 0.5899)

Offset from the most stable computed form in kJ/mol of formula units: 0
Raw formation energy in eV per atom: -0.63

***

Entry 2:
Entry from the Alexandria database: a relaxed SrFeBr2 crystal (PBE).

Cell: 4.0349 4.0349 26.9042 Å, 90.00 90.00 120.00°
Space group R-3m (No. 166, hexagonal axes)
Asymmetric unit:
Sr (0.0000, 0.0000, 0.0000)
Fe (0.0000, 0.0000, 0.5000)
Br (0.0000, 0.0000, 0.1153)

Offset from the most stable computed form in kJ/mol of formula units: 102
Raw formation energy in eV per atom: -0.36

***

Entry 3:
Entry from the Alexandria database: a relaxed SrFeBr3 crystal (PBE).

Cell: 5.9161 5.9161 5.9161 Å, 90.00 90.00 90.00°
Space group Pm-3m (No. 221)
Asymmetric unit:
Sr (0.0000, 0.0000, 0.0000)
Fe (0.5000, 0.5000, 0.5000)
Br (0.0000, 0.0000, 0.5000)

Offset from the most stable computed form in kJ/mol of formula units: 195
Raw formation energy in eV per atom: -0.45

***

Entry 4:
Entry from the Alexandria database: a relaxed SrFeBr5 crystal (PBE).

Cell: 11.4110 10.5535 11.1345 Å, 90.00 119.84 90.00°
Space group C2/c (No. 15)
Asymmetric unit:
Sr (0.0000, 0.0000, 0.0000)
Fe (0.0000, 0.4094, 0.2500)
Br (0.0000, 0.0942, 0.7500)
Br (0.0308, 0.2880, 0.4415)
Br (0.1865, 0.4532, 0.8222)

Raw formation energy in eV per atom: -1.13

***

Entry 5:
Entry from the Alexandria database: a relaxed SrFeBr2 crystal (PBE).

Cell: 4.4146 4.4146 30.9521 Å, 90.00 90.00 120.00°
Space group R-3m (No. 166, hexagonal axes)
Asymmetric unit:
Sr (0.0000, 0.0000, 0.0000)
Fe (0.0000, 0.0000, 0.5000)
Br (0.0000, 0.0000, 0.3874)

Offset from the most stable computed form in kJ/mol of formula units: 74
Raw formation energy in eV per atom: -0.44

***

Entry 6:
Entry from the Alexandria database: a relaxed SrTlFeBr5 crystal (PBE).

Cell: 9.7088 12.8627 10.7656 Å, 90.00 113.90 90.00°
Space group C2/c (No. 15)
Asymmetric unit:
Sr (0.0000, 0.0000, 0.0000)
Tl (0.0000, 0.3497, 0.2500)
Fe (0.0000, 0.3177, 0.7500)
Br (0.0000, 0.0992, 0.2500)
Br (0.1282, 0.2103, 0.6414)
Br (0.1673, 0.4322, 0.9311)

Raw formation energy in eV per atom: -1.14